Here is an optimized crystal structure of Zr2BeAs from Alexandria. Energies are from PBE.

Cell and atoms, written as POSCAR:
```
Zr2BeAs
1.0
-1.980 2.294 3.870
1.980 -2.294 3.870
1.980 2.294 -3.870
Zr Be As
2 1 1
Cartesian
0.000 0.000 1.918 Zr
0.000 0.000 5.822 Zr
1.980 0.000 0.000 Be
0.000 2.294 0.000 As
```

Computed properties:
Magnetic moment (μB per cell): 0.00
SG: Immm, No. 71
Energy above the lowest structure with this stoichiometry (kJ per mole of atoms): 40.0
ΔH_f (0 K) (eV/f.u.): -1.51
Raw total energy (eV per atom): -6.746

Here is an optimized crystal structure of Y2TcBr from Alexandria. Energies are from PBE.

Cell and atoms, written as POSCAR:
```
Y2TcBr
1.0
0.000 3.572 3.572
3.572 0.000 3.572
3.572 3.572 0.000
Y Tc Br
2 1 1
Cartesian
1.786 1.786 1.786 Y
5.358 5.358 5.358 Y
0.000 0.000 0.000 Tc
3.572 3.572 3.572 Br
```

Computed properties:
Magnetic moment (μB per cell): 0.00
SG: Fm-3m, No. 225
Energy above the lowest structure with this stoichiometry (kJ per mole of atoms): 52.7
Formation energy (no corrections) (eV per atom): -0.044
Raw total energy (eV per atom): -6.286

Here is an optimized crystal structure of Ti3Pd2Au3 from Alexandria. Energies are from PBE.

Cell and atoms, written as POSCAR:
```
Ti3Pd2Au3
1.0
7.213 0.000 0.000
-3.606 6.246 0.000
0.000 0.000 2.985
Ti Pd Au
3 2 3
Cartesian
-2.163 3.746 0.000 Ti
1.444 2.501 0.000 Ti
4.325 0.000 0.000 Ti
0.000 4.164 1.492 Pd
3.606 2.082 1.492 Pd
-0.859 1.488 1.492 Au
1.718 0.000 1.492 Au
2.748 4.759 1.492 Au
```

Computed properties:
Magnetic moment (μB per cell): 1.26
SG: P-62m, No. 189
Energy above the lowest structure with this stoichiometry (kJ per mole of atoms): 0.0
ΔH_f (0 K) (eV/f.u.): -3.62
Raw total energy (eV per atom): -5.940